Computed, not measured: an optimized crystal structure of ZnAsS2N at the PBE level of DFT.

a b c (Å): 4.8635 4.8635 3.5935
angles (deg): 90.00 90.00 90.00
Atoms (fractional coordinates):
Zn 0.0000 0.0000 0.0000
As 0.5000 0.5000 0.5000
S 0.0000 0.5000 0.5000
S 0.5000 0.0000 0.5000
N 0.5000 0.5000 0.0000

Values from the calculation:
Its symmetry is No. 123. Its electronic total energy is -0.13579 hartree per atom. For the total magnetic moment, the calculation gives 0.00 μB/f.u.